Record 1
Compound: Sm12Er5Tm
Source: Alexandria via LeMat-Bulk
Functional: PBE
Structure: optimized geometry

The spin magnetization is 0.02 μB per formula unit. The calculation puts the formation energy at 35 kJ/mol of formula units.

It has space group P2/m (No. 10), with a = 10.7412 Å, b = 5.0778 Å, c = 10.7586 Å, α = 90.00°, β = 90.21° and γ = 90.00°. The distinct sites, in fractional coordinates, are Sm at (0.0015, 0.0000, 0.1682), Sm at (0.1650, 0.5000, 0.6651), Sm at (0.1679, 0.5000, 0.0012), Sm at (0.3317, 0.0000, 0.4986), Sm at (0.3345, 0.0000, 0.8345), Sm at (0.4987, 0.5000, 0.3321), Er at (0.1666, 0.5000, 0.3334), Er at (0.3333, 0.0000, 0.1666), Er at (0.5000, 0.5000, 0.0000) and Tm at (0.0000, 0.0000, 0.5000).

=====

Record 2
Compound: ThPaP2
Source: Alexandria via LeMat-Bulk
Functional: PBE
Structure: optimized geometry

The offset from the most stable computed form is 0.000 eV per atom. The spin magnetization is 0.00 μB per formula unit. The calculation puts the formation energy at -551 kJ/mol of formula units.

It has space group R-3m (No. 166, hexagonal axes), with a = 4.0511 Å, b = 4.0511 Å, c = 19.8920 Å, α = 90.00°, β = 90.00° and γ = 120.00°. The distinct sites, in fractional coordinates, are Th at (0.0000, 0.0000, 0.0000), Pa at (0.0000, 0.0000, 0.5000) and P at (0.0000, 0.0000, 0.2455).

=====

Record 3
Compound: Dy3MgAl8
Source: Alexandria via LeMat-Bulk
Functional: PBE
Structure: optimized geometry

The offset from the most stable computed form is 0.000 eV per atom. The spin magnetization is 0.00 μB per formula unit. The calculation puts the formation energy at -453 kJ/mol of formula units.

It has space group R3m (No. 160, hexagonal axes), with a = 5.5288 Å, b = 5.5288 Å, c = 27.1006 Å, α = 90.00°, β = 90.00° and γ = 120.00°. The distinct sites, in fractional coordinates, are Dy at (0.0000, 0.0000, 0.0000), Dy at (0.0000, 0.0000, 0.1277), Dy at (0.0000, 0.0000, 0.6230), Mg at (0.0000, 0.0000, 0.5002), Al at (0.0000, 0.0000, 0.3130), Al at (0.0000, 0.0000, 0.8136), Al at (0.0019, 0.5009, 0.5635) and Al at (0.1671, 0.3343, 0.3967).

=====

Record 4
Compound: SrPb3
Source: Alexandria via LeMat-Bulk
Functional: PBE
Structure: optimized geometry

The spin magnetization is 0.00 μB per formula unit. The calculation puts the formation energy at -96 kJ/mol of formula units.

It has space group P1 (No. 1), with a = 3.8155 Å, b = 5.9279 Å, c = 6.6430 Å, α = 113.22°, β = 106.50° and γ = 90.07°. The distinct sites, in fractional coordinates, are Sr at (0.0000, 0.0000, 0.0000), Pb at (0.2355, 0.6163, 0.4691), Pb at (0.4875, 0.4904, 0.9701) and Pb at (0.7592, 0.1293, 0.5114).

=====

Record 5
Compound: Be3AlCd
Source: Alexandria via LeMat-Bulk
Functional: PBE
Structure: optimized geometry

The offset from the most stable computed form is 0.111 eV per atom. The spin magnetization is 0.00 μB per formula unit. The calculation puts the formation energy at 546 kJ/mol of formula units.

It has space group Pm-3m (No. 221), with a = 4.4536 Å, b = 4.4536 Å, c = 4.4536 Å, α = 90.00°, β = 90.00° and γ = 90.00°. The distinct sites, in fractional coordinates, are Be at (0.0000, 0.0000, 0.5000), Al at (0.5000, 0.5000, 0.5000) and Cd at (0.0000, 0.0000, 0.0000).

=====

Record 6
Compound: WIN2Cl
Source: Alexandria via LeMat-Bulk
Functional: PBE
Structure: optimized geometry

The formation energy from raw total energies is 2.535 eV/atom. The offset from the most stable computed form is 1.945 eV per atom. The spin magnetization is 4.77 μB per formula unit.

It has space group P4/mmm (No. 123), with a = 3.9720 Å, b = 3.9720 Å, c = 7.0385 Å, α = 90.00°, β = 90.00° and γ = 90.00°. The distinct sites, in fractional coordinates, are W at (0.0000, 0.0000, 0.0000), I at (0.5000, 0.5000, 0.5000), N at (0.0000, 0.5000, 0.5000) and Cl at (0.5000, 0.5000, 0.0000).

=====

Record 7
Compound: LiZnRh2
Source: Alexandria via LeMat-Bulk
Functional: PBE
Structure: optimized geometry

The spin magnetization is 0.00 μB per formula unit. The calculation puts the formation energy at -87 kJ/mol of formula units.

It has space group Pmmm (No. 47), with a = 2.8352 Å, b = 4.2637 Å, c = 4.5405 Å, α = 90.00°, β = 90.00° and γ = 90.00°. The distinct sites, in fractional coordinates, are Li at (0.0000, 0.0000, 0.0000), Zn at (0.5000, 0.0000, 0.5000), Rh at (0.0000, 0.5000, 0.5000) and Rh at (0.5000, 0.5000, 0.0000).

=====

Record 8
Compound: AlRe2Cl
Source: Alexandria via LeMat-Bulk
Functional: PBE
Structure: optimized geometry

The formation energy from raw total energies is 0.096 eV/atom. The offset from the most stable computed form is 0.165 eV per atom. The spin magnetization is 0.00 μB per formula unit.

It has space group P4mm (No. 99), with a = 2.9788 Å, b = 2.9788 Å, c = 7.5890 Å, α = 90.00°, β = 90.00° and γ = 90.00°. The distinct sites, in fractional coordinates, are Al at (0.0000, 0.0000, 0.0000), Re at (0.0000, 0.0000, 0.5851), Re at (0.5000, 0.5000, 0.7892) and Cl at (0.5000, 0.5000, 0.3373).